(1)
! Ca2CuSb, optimized geometry, DFT PBEsol; values from VASP
! Energy relative to the elements, uncorrected, meV/atom: -491
! VASP energy, eV/atom: -3.781
&SYSTEM
  ibrav = 0, nat = 4, ntyp = 3
/
ATOMIC_SPECIES
Ca 40.08 Ca.upf
Cu 63.55 Cu.upf
Sb 121.76 Sb.upf
CELL_PARAMETERS angstrom
3.903 0.000 0.000
0.000 5.003 0.000
0.000 0.000 5.004
ATOMIC_POSITIONS crystal
Ca 0.000 0.000 0.000
Ca 0.000 0.500 0.497
Cu 0.500 0.000 0.505
Sb 0.500 0.500 0.995

(2)
! Ca2CuSb, optimized geometry, DFT PBEsol; values from VASP
! Energy relative to the elements, uncorrected, meV/atom: -352
! VASP energy, eV/atom: -3.641
&SYSTEM
  ibrav = 0, nat = 4, ntyp = 3
/
ATOMIC_SPECIES
Ca 40.08 Ca.upf
Cu 63.55 Cu.upf
Sb 121.76 Sb.upf
CELL_PARAMETERS angstrom
-2.197 2.197 5.053
2.197 -2.197 5.053
2.197 2.197 -5.053
ATOMIC_POSITIONS crystal
Ca 0.000 0.000 0.000
Ca 0.750 0.250 0.500
Cu 0.500 0.500 0.000
Sb 0.250 0.750 0.500

(3)
! CaCuSb2, optimized geometry, DFT PBEsol; values from VASP
! Energy relative to the elements, uncorrected, meV/atom: -172
! VASP energy, eV/atom: -4.068
&SYSTEM
  ibrav = 0, nat = 4, ntyp = 3
/
ATOMIC_SPECIES
Ca 40.08 Ca.upf
Cu 63.55 Cu.upf
Sb 121.76 Sb.upf
CELL_PARAMETERS angstrom
3.795 0.000 0.000
0.000 3.795 0.000
0.000 0.000 6.504
ATOMIC_POSITIONS crystal
Ca 0.000 0.000 0.000
Cu 0.500 0.500 0.338
Sb 0.000 0.000 0.468
Sb 0.500 0.500 0.747

(4)
! CaCu2Sb2, optimized geometry, DFT PBEsol; values from VASP
! Energy relative to the elements, uncorrected, meV/atom: -321
! VASP energy, eV/atom: -4.304
&SYSTEM
  ibrav = 0, nat = 5, ntyp = 3
/
ATOMIC_SPECIES
Ca 40.08 Ca.upf
Cu 63.55 Cu.upf
Sb 121.76 Sb.upf
CELL_PARAMETERS angstrom
-2.124 2.124 5.914
2.124 -2.124 5.914
2.124 2.124 -5.914
ATOMIC_POSITIONS crystal
Ca 0.000 0.000 0.000
Cu 0.250 0.750 0.500
Cu 0.750 0.250 0.500
Sb 0.374 0.374 0.000
Sb 0.626 0.626 0.000

(5)
! CaCuSb2Te, optimized geometry, DFT PBEsol; values from VASP
! Energy relative to the elements, uncorrected, meV/atom: -108
! VASP energy, eV/atom: -3.929
&SYSTEM
  ibrav = 0, nat = 5, ntyp = 4
/
ATOMIC_SPECIES
Ca 40.08 Ca.upf
Cu 63.55 Cu.upf
Sb 121.76 Sb.upf
Te 127.60 Te.upf
CELL_PARAMETERS angstrom
5.009 0.000 0.000
0.000 5.009 0.000
0.000 0.000 5.397
ATOMIC_POSITIONS crystal
Ca 0.000 0.000 0.000
Cu 0.500 0.500 0.500
Sb 0.000 0.500 0.500
Sb 0.500 0.000 0.500
Te 0.500 0.500 0.000

(6)
! Ca2TiCuSb, optimized geometry, DFT PBEsol; values from VASP
! Energy relative to the elements, uncorrected, meV/atom: 79
! VASP energy, eV/atom: -4.217
&SYSTEM
  ibrav = 0, nat = 5, ntyp = 4
/
ATOMIC_SPECIES
Ca 40.08 Ca.upf
Ti 47.87 Ti.upf
Cu 63.55 Cu.upf
Sb 121.76 Sb.upf
CELL_PARAMETERS angstrom
5.236 0.000 0.000
0.000 5.236 0.000
0.000 0.000 4.694
ATOMIC_POSITIONS crystal
Ca 0.000 0.500 0.000
Ca 0.500 0.000 0.000
Ti 0.000 0.000 0.500
Cu 0.000 0.000 0.000
Sb 0.500 0.500 0.500

(7)
! Ca2ScCu, optimized geometry, DFT PBEsol; values from VASP
! VASP energy, eV/atom: -3.469
&SYSTEM
  ibrav = 0, nat = 4, ntyp = 3
/
ATOMIC_SPECIES
Ca 40.08 Ca.upf
Sc 44.96 Sc.upf
Cu 63.55 Cu.upf
CELL_PARAMETERS angstrom
-2.245 2.245 4.971
2.245 -2.245 4.971
2.245 2.245 -4.971
ATOMIC_POSITIONS crystal
Ca 0.250 0.750 0.500
Ca 0.750 0.250 0.500
Sc 0.000 0.000 0.000
Cu 0.500 0.500 0.000

(8)
! CaCuSe, optimized geometry, DFT PBEsol; values from VASP
! Energy relative to the elements, uncorrected, meV/atom: -382
! VASP energy, eV/atom: -3.821
&SYSTEM
  ibrav = 0, nat = 3, ntyp = 3
/
ATOMIC_SPECIES
Ca 40.08 Ca.upf
Cu 63.55 Cu.upf
Se 78.96 Se.upf
CELL_PARAMETERS angstrom
0.000 3.272 3.272
3.272 0.000 3.272
3.272 3.272 0.000
ATOMIC_POSITIONS crystal
Ca 0.000 0.000 0.000
Cu 0.750 0.750 0.750
Se 0.250 0.250 0.250

(9)
! CaCuSi, optimized geometry, DFT PBEsol; values from VASP
! Energy relative to the elements, uncorrected, meV/atom: -396
! VASP energy, eV/atom: -4.467
&SYSTEM
  ibrav = 0, nat = 3, ntyp = 3
/
ATOMIC_SPECIES
Ca 40.08 Ca.upf
Cu 63.55 Cu.upf
Si 28.09 Si.upf
CELL_PARAMETERS angstrom
4.174 0.000 0.000
-2.087 3.615 0.000
0.000 0.000 3.695
ATOMIC_POSITIONS crystal
Ca 0.000 0.000 0.000
Cu 0.667 0.333 0.500
Si 0.333 0.667 0.500

(10)
! CaCuSi, optimized geometry, DFT PBEsol; values from VASP
! Energy relative to the elements, uncorrected, meV/atom: -113
! VASP energy, eV/atom: -4.184
&SYSTEM
  ibrav = 0, nat = 3, ntyp = 3
/
ATOMIC_SPECIES
Ca 40.08 Ca.upf
Cu 63.55 Cu.upf
Si 28.09 Si.upf
CELL_PARAMETERS angstrom
0.000 3.080 3.080
3.080 0.000 3.080
3.080 3.080 0.000
ATOMIC_POSITIONS crystal
Ca 0.000 0.000 0.000
Cu 0.750 0.750 0.750
Si 0.500 0.500 0.500

(11)
! CaCu2Si, optimized geometry, DFT PBEsol; values from VASP
! Energy relative to the elements, uncorrected, meV/atom: -280
! VASP energy, eV/atom: -4.417
&SYSTEM
  ibrav = 0, nat = 4, ntyp = 3
/
ATOMIC_SPECIES
Ca 40.08 Ca.upf
Cu 63.55 Cu.upf
Si 28.09 Si.upf
CELL_PARAMETERS angstrom
3.518 -2.032 0.000
3.518 2.032 0.000
-2.359 0.000 5.009
ATOMIC_POSITIONS crystal
Ca 0.000 0.000 0.000
Cu 0.513 0.513 0.541
Cu 0.808 0.808 0.425
Si 0.196 0.196 0.588

(12)
! CaCu2Si, optimized geometry, DFT PBEsol; values from VASP
! Energy relative to the elements, uncorrected, meV/atom: -324
! VASP energy, eV/atom: -4.461
&SYSTEM
  ibrav = 0, nat = 4, ntyp = 3
/
ATOMIC_SPECIES
Ca 40.08 Ca.upf
Cu 63.55 Cu.upf
Si 28.09 Si.upf
CELL_PARAMETERS angstrom
2.029 1.172 4.892
-2.029 1.172 4.892
0.000 -2.343 4.892
ATOMIC_POSITIONS crystal
Ca 0.000 0.000 0.000
Cu 0.195 0.195 0.195
Cu 0.805 0.805 0.805
Si 0.500 0.500 0.500

(13)
! CaCuSi, optimized geometry, DFT PBEsol; values from VASP
! Energy relative to the elements, uncorrected, meV/atom: 645
! VASP energy, eV/atom: -3.426
&SYSTEM
  ibrav = 0, nat = 3, ntyp = 3
/
ATOMIC_SPECIES
Ca 40.08 Ca.upf
Cu 63.55 Cu.upf
Si 28.09 Si.upf
CELL_PARAMETERS angstrom
0.000 3.236 3.236
3.236 0.000 3.236
3.236 3.236 0.000
ATOMIC_POSITIONS crystal
Ca 0.000 0.000 0.000
Cu 0.750 0.750 0.750
Si 0.250 0.250 0.250

(14)
! CaCu9Sn4, optimized geometry, DFT PBEsol; values from VASP
! VASP energy, eV/atom: -4.299
&SYSTEM
  ibrav = 0, nat = 28, ntyp = 3
/
ATOMIC_SPECIES
Ca 40.08 Ca.upf
Cu 63.55 Cu.upf
Sn 118.71 Sn.upf
CELL_PARAMETERS angstrom
-4.263 4.263 6.127
4.263 -4.263 6.127
4.263 4.263 -6.127
ATOMIC_POSITIONS crystal
Ca 0.250 0.250 0.000
Ca 0.750 0.750 0.000
Cu 0.000 0.500 0.500
Cu 0.055 0.798 0.853
Cu 0.067 0.567 0.285
Cu 0.202 0.055 0.257
Cu 0.218 0.933 0.500
Cu 0.282 0.782 0.715
Cu 0.298 0.555 0.853
Cu 0.433 0.718 0.500
Cu 0.445 0.298 0.743
Cu 0.500 0.000 0.500
Cu 0.555 0.702 0.257
Cu 0.567 0.282 0.500
Cu 0.702 0.445 0.147
Cu 0.718 0.218 0.285
Cu 0.782 0.067 0.500
Cu 0.798 0.945 0.743
Cu 0.933 0.433 0.715
Cu 0.945 0.202 0.147
Sn 0.060 0.187 0.500
Sn 0.187 0.687 0.127
Sn 0.313 0.440 0.500
Sn 0.440 0.940 0.127
Sn 0.560 0.060 0.873
Sn 0.687 0.560 0.500
Sn 0.813 0.313 0.873
Sn 0.940 0.813 0.500

(15)
! Ca6Cu2Sn7, optimized geometry, DFT PBEsol; values from VASP
! VASP energy, eV/atom: -4.008
&SYSTEM
  ibrav = 0, nat = 15, ntyp = 3
/
ATOMIC_SPECIES
Ca 40.08 Ca.upf
Cu 63.55 Cu.upf
Sn 118.71 Sn.upf
CELL_PARAMETERS angstrom
7.042 -2.255 0.000
7.042 2.255 0.000
-0.813 0.000 12.215
ATOMIC_POSITIONS crystal
Ca 0.038 0.038 0.201
Ca 0.137 0.137 0.502
Ca 0.305 0.305 0.205
Ca 0.695 0.695 0.795
Ca 0.863 0.863 0.498
Ca 0.962 0.962 0.799
Cu 0.330 0.330 0.890
Cu 0.670 0.670 0.110
Sn 0.159 0.159 0.982
Sn 0.317 0.317 0.677
Sn 0.489 0.489 0.381
Sn 0.500 0.500 0.000
Sn 0.511 0.511 0.619
Sn 0.683 0.683 0.323
Sn 0.841 0.841 0.018

(16)
! CaCu2Sn2, optimized geometry, DFT PBEsol; values from VASP
! VASP energy, eV/atom: -4.209
&SYSTEM
  ibrav = 0, nat = 5, ntyp = 3
/
ATOMIC_SPECIES
Ca 40.08 Ca.upf
Cu 63.55 Cu.upf
Sn 118.71 Sn.upf
CELL_PARAMETERS angstrom
5.415 -2.087 0.000
5.415 2.087 0.000
-1.449 0.000 4.559
ATOMIC_POSITIONS crystal
Ca 0.000 0.000 0.000
Cu 0.262 0.262 0.867
Cu 0.738 0.738 0.133
Sn 0.357 0.357 0.431
Sn 0.643 0.643 0.569

(17)
! SrCaCu, optimized geometry, DFT PBEsol; values from VASP
! VASP energy, eV/atom: -2.736
&SYSTEM
  ibrav = 0, nat = 3, ntyp = 3
/
ATOMIC_SPECIES
Sr 87.62 Sr.upf
Ca 40.08 Ca.upf
Cu 63.55 Cu.upf
CELL_PARAMETERS angstrom
-1.837 1.837 6.669
1.837 -1.837 6.669
1.837 1.837 -6.669
ATOMIC_POSITIONS crystal
Sr 0.000 0.000 0.000
Ca 0.740 0.740 0.000
Cu 0.360 0.360 0.000

(18)
! SrCaCu, optimized geometry, DFT PBEsol; values from VASP
! VASP energy, eV/atom: -2.677
&SYSTEM
  ibrav = 0, nat = 3, ntyp = 3
/
ATOMIC_SPECIES
Sr 87.62 Sr.upf
Ca 40.08 Ca.upf
Cu 63.55 Cu.upf
CELL_PARAMETERS angstrom
4.210 0.000 0.000
-2.105 3.646 0.000
0.000 0.000 6.798
ATOMIC_POSITIONS crystal
Sr 0.000 0.000 0.000
Ca 0.333 0.667 0.487
Cu 0.667 0.333 0.262

(19)
! Sr2CaCu2, optimized geometry, DFT PBEsol; values from VASP
! VASP energy, eV/atom: -2.905
&SYSTEM
  ibrav = 0, nat = 10, ntyp = 3
/
ATOMIC_SPECIES
Sr 87.62 Sr.upf
Ca 40.08 Ca.upf
Cu 63.55 Cu.upf
CELL_PARAMETERS angstrom
7.967 0.000 0.000
0.000 7.967 0.000
0.000 0.000 4.480
ATOMIC_POSITIONS crystal
Sr 0.171 0.329 0.000
Sr 0.329 0.829 0.000
Sr 0.671 0.171 0.000
Sr 0.829 0.671 0.000
Ca 0.000 0.000 0.500
Ca 0.500 0.500 0.500
Cu 0.110 0.610 0.500
Cu 0.390 0.110 0.500
Cu 0.610 0.890 0.500
Cu 0.890 0.390 0.500

(20)
! SrCaZn2Cu, optimized geometry, DFT PBEsol; values from VASP
! VASP energy, eV/atom: -2.253
&SYSTEM
  ibrav = 0, nat = 5, ntyp = 4
/
ATOMIC_SPECIES
Sr 87.62 Sr.upf
Ca 40.08 Ca.upf
Zn 65.41 Zn.upf
Cu 63.55 Cu.upf
CELL_PARAMETERS angstrom
4.832 0.000 0.000
0.000 4.832 0.000
0.000 0.000 5.063
ATOMIC_POSITIONS crystal
Sr 0.000 0.000 0.000
Ca 0.500 0.500 0.000
Zn 0.000 0.500 0.500
Zn 0.500 0.000 0.500
Cu 0.500 0.500 0.500

(21)
! CaTa2Cu, optimized geometry, DFT PBEsol; values from VASP
! VASP energy, eV/atom: -7.562
&SYSTEM
  ibrav = 0, nat = 4, ntyp = 3
/
ATOMIC_SPECIES
Ca 40.08 Ca.upf
Ta 180.95 Ta.upf
Cu 63.55 Cu.upf
CELL_PARAMETERS angstrom
-1.466 2.382 5.327
1.466 -2.382 5.327
1.466 2.382 -5.327
ATOMIC_POSITIONS crystal
Ca 0.000 0.000 0.000
Ta 0.284 0.784 0.500
Ta 0.716 0.216 0.500
Cu 0.500 0.500 0.000

(22)
! CaTa2Cu, optimized geometry, DFT PBEsol; values from VASP
! VASP energy, eV/atom: -7.372
&SYSTEM
  ibrav = 0, nat = 4, ntyp = 3
/
ATOMIC_SPECIES
Ca 40.08 Ca.upf
Ta 180.95 Ta.upf
Cu 63.55 Cu.upf
CELL_PARAMETERS angstrom
1.962 -2.041 0.000
1.962 2.041 0.000
0.000 0.000 9.181
ATOMIC_POSITIONS crystal
Ca 0.000 0.000 0.000
Ta 0.500 0.500 0.301
Ta 0.500 0.500 0.699
Cu 0.000 0.000 0.500

(23)
! CaTaCu, optimized geometry, DFT PBEsol; values from VASP
! VASP energy, eV/atom: -5.575
&SYSTEM
  ibrav = 0, nat = 3, ntyp = 3
/
ATOMIC_SPECIES
Ca 40.08 Ca.upf
Ta 180.95 Ta.upf
Cu 63.55 Cu.upf
CELL_PARAMETERS angstrom
4.701 0.000 0.000
-2.350 4.071 0.000
0.000 0.000 2.962
ATOMIC_POSITIONS crystal
Ca 0.000 0.000 0.000
Ta 0.333 0.667 0.541
Cu 0.667 0.333 0.440

(24)
! CaTaCu, optimized geometry, DFT PBEsol; values from VASP
! VASP energy, eV/atom: -5.942
&SYSTEM
  ibrav = 0, nat = 3, ntyp = 3
/
ATOMIC_SPECIES
Ca 40.08 Ca.upf
Ta 180.95 Ta.upf
Cu 63.55 Cu.upf
CELL_PARAMETERS angstrom
-1.540 1.540 6.108
1.540 -1.540 6.108
1.540 1.540 -6.108
ATOMIC_POSITIONS crystal
Ca 0.000 0.000 0.000
Ta 0.295 0.295 0.000
Cu 0.677 0.677 0.000

(25)
! CaTa2Cu, optimized geometry, DFT PBEsol; values from VASP
! VASP energy, eV/atom: -7.252
&SYSTEM
  ibrav = 0, nat = 4, ntyp = 3
/
ATOMIC_SPECIES
Ca 40.08 Ca.upf
Ta 180.95 Ta.upf
Cu 63.55 Cu.upf
CELL_PARAMETERS angstrom
1.454 0.840 10.000
-1.454 0.840 10.000
0.000 -1.679 10.000
ATOMIC_POSITIONS crystal
Ca 0.000 0.000 0.000
Ta 0.239 0.239 0.239
Ta 0.761 0.761 0.761
Cu 0.500 0.500 0.500

(26)
! CaTa2Cu, optimized geometry, DFT PBEsol; values from VASP
! VASP energy, eV/atom: -7.205
&SYSTEM
  ibrav = 0, nat = 4, ntyp = 3
/
ATOMIC_SPECIES
Ca 40.08 Ca.upf
Ta 180.95 Ta.upf
Cu 63.55 Cu.upf
CELL_PARAMETERS angstrom
3.882 0.000 0.000
0.000 3.882 0.000
0.000 0.000 4.971
ATOMIC_POSITIONS crystal
Ca 0.000 0.000 0.000
Ta 0.000 0.500 0.500
Ta 0.500 0.000 0.500
Cu 0.500 0.500 0.000

(27)
! Ca4TaCu, optimized geometry, DFT PBEsol; values from VASP
! VASP energy, eV/atom: -3.059
&SYSTEM
  ibrav = 0, nat = 6, ntyp = 3
/
ATOMIC_SPECIES
Ca 40.08 Ca.upf
Ta 180.95 Ta.upf
Cu 63.55 Cu.upf
CELL_PARAMETERS angstrom
0.000 4.398 4.398
4.398 0.000 4.398
4.398 4.398 0.000
ATOMIC_POSITIONS crystal
Ca 0.125 0.125 0.125
Ca 0.125 0.125 0.624
Ca 0.125 0.624 0.125
Ca 0.624 0.125 0.125
Ta 0.500 0.500 0.500
Cu 0.750 0.750 0.750

(28)
! CaTa3Cu, optimized geometry, DFT PBEsol; values from VASP
! VASP energy, eV/atom: -7.582
&SYSTEM
  ibrav = 0, nat = 5, ntyp = 3
/
ATOMIC_SPECIES
Ca 40.08 Ca.upf
Ta 180.95 Ta.upf
Cu 63.55 Cu.upf
CELL_PARAMETERS angstrom
4.736 0.000 0.000
0.000 4.736 0.000
0.000 0.000 4.736
ATOMIC_POSITIONS crystal
Ca 0.000 0.000 0.000
Ta 0.000 0.500 0.500
Ta 0.500 0.000 0.500
Ta 0.500 0.500 0.000
Cu 0.500 0.500 0.500

Number 1: density of states at the Fermi level 1.456 states/eV/f.u.. Number 2: density of states at the Fermi level 1.670 states/eV/f.u.. Number 3: density of states at the Fermi level 2.226 states/eV/f.u.. Number 4: density of states at the Fermi level 2.059 states/eV/f.u.. Number 5: density of states at the Fermi level 3.170 states/eV/f.u.. Number 6: density of states at the Fermi level 6.033 states/eV/f.u.. Number 7: density of states at the Fermi level 5.826 states/eV/f.u.. Number 8: density of states at the Fermi level 1.015 states/eV/f.u.. Number 9: density of states at the Fermi level 1.303 states/eV/f.u.. Number 10: density of states at the Fermi level 3.038 states/eV/f.u.. Number 11: density of states at the Fermi level 1.848 states/eV/f.u.. Number 12: density of states at the Fermi level 1.121 states/eV/f.u.. Number 13: density of states at the Fermi level 2.606 states/eV/f.u.. Number 14: density of states at the Fermi level 2.793 states/eV/f.u.. Number 15: density of states at the Fermi level 4.590 states/eV/f.u.. Number 16: density of states at the Fermi level 1.805 states/eV/f.u.. Number 17: density of states at the Fermi level 2.742 states/eV/f.u.. Number 18: density of states at the Fermi level 2.925 states/eV/f.u.. Number 19: density of states at the Fermi level 3.214 states/eV/f.u.. Number 20: density of states at the Fermi level 2.693 states/eV/f.u.. Number 21: density of states at the Fermi level 2.863 states/eV/f.u.. Number 22: density of states at the Fermi level 4.959 states/eV/f.u.. Number 23: density of states at the Fermi level 3.053 states/eV/f.u.. Number 24: density of states at the Fermi level 2.632 states/eV/f.u.. Number 25: density of states at the Fermi level 4.949 states/eV/f.u.. Number 26: density of states at the Fermi level 5.390 states/eV/f.u.. Number 27: density of states at the Fermi level 9.152 states/eV/f.u.. Number 28: density of states at the Fermi level 8.675 states/eV/f.u..